Compound: SmThBe
Source: OQMD
Functional: PBE-GGA
Structure: optimized geometry

Results
Uncorrected energy, eV/cell: -59.468
Spin magnetization, μB/cell: 0.01

Lattice parameters (Å, degrees): 6.827 6.827 6.827 90.00 90.00 90.00
Space group F-43m (No. 216)
One atom of each set of equivalent atoms:
Sm: 0.000 0.000 0.000 x4
Th: 0.000 0.000 0.500 x4
Be: 0.250 0.250 0.250 x4